# NdZr3F15 | the Alexandria database | meta-GGA SCAN | single point on PBEsol structure
# - Energy relative to the elements, uncorrected: -4077.5 meV/atom
# - E_tot: -14.01 eV per atom
data_NdZr3F15
_chemical_formula_sum 'Nd3 Zr9 F45'
_space_group_name_H-M_alt 'R 3 m'
_space_group_IT_number 160
_space_group_name_Hall 'R 3 -2"'
_cell_length_a 12.2678
_cell_length_b 12.2678
_cell_length_c 6.1376
_cell_angle_alpha 90.00
_cell_angle_beta 90.00
_cell_angle_gamma 120.00
loop_
_atom_site_label
_atom_site_fract_x
_atom_site_fract_y
_atom_site_fract_z
Nd1 0.0000 0.0000 0.0000
Zr1 0.1898 0.3796 0.1713
F1 0.0385 0.2914 0.3962
F2 0.1078 0.5539 0.6565
F3 0.1482 0.0741 0.7190
F4 0.1564 0.0782 0.2648